Here is a relaxed structure of Pm7Tm4Mg from the Alexandria database. Energies are from PBE.

Output
Energy of formation from the pure elements   206.1 meV per atom

```
data_Pm7Tm4Mg
_cell_length_a 11.2081
_cell_length_b 5.5388
_cell_length_c 13.0916
_cell_angle_alpha 90.00
_cell_angle_beta 105.48
_cell_angle_gamma 90.00
_symmetry_space_group_name_H-M 'C 1 2/m 1'
_symmetry_Int_Tables_number 12
_symmetry_space_group_name_Hall '-C 2y'
loop_
_atom_site_label
_atom_site_fract_x
_atom_site_fract_y
_atom_site_fract_z
Pm1 0.0000 0.0000 0.0000
Pm2 0.1386 0.0000 0.4677
Pm3 0.1583 0.5000 0.2570
Pm4 0.2271 0.5000 0.8962
Tm1 0.0480 0.0000 0.7778
Tm2 0.0917 0.5000 0.6271
Mg1 0.0000 0.5000 0.0000
```

***

Here is a relaxed structure of Pm6TmMg from the Alexandria database. Energies are from PBE.

Output
Offset from the most stable computed form   0.095 eV per atom
Energy of formation from the pure elements   100.0 meV per atom

```
data_Pm6TmMg
_cell_length_a 9.6021
_cell_length_b 9.6021
_cell_length_c 9.8527
_cell_angle_alpha 90.00
_cell_angle_beta 90.00
_cell_angle_gamma 120.00
_symmetry_space_group_name_H-M 'R -3'
_symmetry_Int_Tables_number 148
_symmetry_space_group_name_Hall '-R 3'
loop_
_atom_site_label
_atom_site_fract_x
_atom_site_fract_y
_atom_site_fract_z
Pm1 0.0197 0.2737 0.2208
Tm1 0.0000 0.0000 0.5000
Mg1 0.0000 0.0000 0.0000
```

***

Here is a relaxed structure of PmTmMg from the Alexandria database. Energies are from PBE.

Output
Offset from the most stable computed form   0.085 eV per atom
Energy of formation from the pure elements   46.4 meV per atom

```
data_PmTmMg
_cell_length_a 5.4586
_cell_length_b 5.4586
_cell_length_c 3.4048
_cell_angle_alpha 90.00
_cell_angle_beta 90.00
_cell_angle_gamma 120.00
_symmetry_space_group_name_H-M 'P 3 m 1'
_symmetry_Int_Tables_number 156
_symmetry_space_group_name_Hall 'P 3 -2"'
loop_
_atom_site_label
_atom_site_fract_x
_atom_site_fract_y
_atom_site_fract_z
Pm1 0.0000 0.0000 0.0000
Tm1 0.3333 0.6667 0.5689
Mg1 0.6667 0.3333 0.3106
```

***

Here is a relaxed structure of Pm4Tm2Mg from the Alexandria database. Energies are from PBE.

Output
Offset from the most stable computed form   0.072 eV per atom
Energy of formation from the pure elements   194.7 meV per atom

```
data_Pm4Tm2Mg
_cell_length_a 6.8002
_cell_length_b 11.2689
_cell_length_c 11.9447
_cell_angle_alpha 90.00
_cell_angle_beta 90.00
_cell_angle_gamma 90.00
_symmetry_space_group_name_H-M 'I m m a'
_symmetry_Int_Tables_number 74
_symmetry_space_group_name_Hall '-I 2b 2'
loop_
_atom_site_label
_atom_site_fract_x
_atom_site_fract_y
_atom_site_fract_z
Pm1 0.0000 0.0129 0.1552
Pm2 0.2232 0.2500 0.9908
Tm1 0.0000 0.0000 0.5000
Tm2 0.0000 0.2500 0.7171
Mg1 0.2500 0.2500 0.2500
```

***

Here is a relaxed structure of Pm2TmMg4 from the Alexandria database. Energies are from PBE.

Output
Offset from the most stable computed form   0.000 eV per atom
Energy of formation from the pure elements   39.4 meV per atom

```
data_Pm2TmMg4
_cell_length_a 5.3424
_cell_length_b 5.3424
_cell_length_c 23.5805
_cell_angle_alpha 90.00
_cell_angle_beta 90.00
_cell_angle_gamma 120.00
_symmetry_space_group_name_H-M 'R -3 m'
_symmetry_Int_Tables_number 166
_symmetry_space_group_name_Hall '-R 3 2"'
loop_
_atom_site_label
_atom_site_fract_x
_atom_site_fract_y
_atom_site_fract_z
Pm1 0.0000 0.0000 0.2139
Tm1 0.0000 0.0000 0.5000
Mg1 0.0000 0.0000 0.0693
Mg2 0.0000 0.0000 0.3619
```

***

Here is a relaxed structure of PmTm2Mg from the Alexandria database. Energies are from PBE.

Output
Offset from the most stable computed form   0.005 eV per atom
Energy of formation from the pure elements   -21.5 meV per atom

```
data_PmTm2Mg
_cell_length_a 3.5903
_cell_length_b 3.5903
_cell_length_c 9.1471
_cell_angle_alpha 90.00
_cell_angle_beta 90.00
_cell_angle_gamma 90.00
_symmetry_space_group_name_H-M 'P 4/m m m'
_symmetry_Int_Tables_number 123
_symmetry_space_group_name_Hall '-P 4 2'
loop_
_atom_site_label
_atom_site_fract_x
_atom_site_fract_y
_atom_site_fract_z
Pm1 0.0000 0.0000 0.0000
Tm1 0.5000 0.5000 0.2711
Mg1 0.0000 0.0000 0.5000
```

***

Here is a relaxed structure of Pm15Tm2Mg2 from the Alexandria database. Energies are from PBE.

Output
Energy of formation from the pure elements   235.9 meV per atom

```
data_Pm15Tm2Mg2
_cell_length_a 11.2401
_cell_length_b 11.2401
_cell_length_c 17.6271
_cell_angle_alpha 90.00
_cell_angle_beta 90.00
_cell_angle_gamma 120.00
_symmetry_space_group_name_H-M 'R -3 m'
_symmetry_Int_Tables_number 166
_symmetry_space_group_name_Hall '-R 3 2"'
loop_
_atom_site_label
_atom_site_fract_x
_atom_site_fract_y
_atom_site_fract_z
Pm1 0.0000 0.2972 0.0000
Pm2 0.0000 0.5000 0.5000
Pm3 0.0176 0.5088 0.1389
Tm1 0.0000 0.0000 0.3156
Mg1 0.0000 0.0000 0.0926
```

***

Here is a relaxed structure of PmTmMg from the Alexandria database. Energies are from PBE.

Output
Offset from the most stable computed form   0.000 eV per atom
Energy of formation from the pure elements   -38.6 meV per atom

```
data_PmTmMg
_cell_length_a 3.6186
_cell_length_b 3.6186
_cell_length_c 13.4595
_cell_angle_alpha 90.00
_cell_angle_beta 90.00
_cell_angle_gamma 90.00
_symmetry_space_group_name_H-M 'I 4 m m'
_symmetry_Int_Tables_number 107
_symmetry_space_group_name_Hall 'I 4 -2'
loop_
_atom_site_label
_atom_site_fract_x
_atom_site_fract_y
_atom_site_fract_z
Pm1 0.0000 0.0000 0.0000
Tm1 0.0000 0.0000 0.6787
Mg1 0.0000 0.0000 0.3335
```

***

Here is a relaxed structure of Pm2TmMg8 from the Alexandria database. Energies are from PBE.

Output
Energy of formation from the pure elements   42.0 meV per atom

```
data_Pm2TmMg8
_cell_length_a 5.3030
_cell_length_b 7.7655
_cell_length_c 14.2787
_cell_angle_alpha 90.00
_cell_angle_beta 90.00
_cell_angle_gamma 90.00
_symmetry_space_group_name_H-M 'I m m m'
_symmetry_Int_Tables_number 71
_symmetry_space_group_name_Hall '-I 2 2'
loop_
_atom_site_label
_atom_site_fract_x
_atom_site_fract_y
_atom_site_fract_z
Pm1 0.0000 0.0000 0.2107
Tm1 0.0000 0.0000 0.5000
Mg1 0.0000 0.2123 0.0000
Mg2 0.0000 0.3067 0.3682
Mg3 0.0000 0.5000 0.1517
```

***

Here is a relaxed structure of PmTm2Mg9 from the Alexandria database. Energies are from PBE.

Output
Energy of formation from the pure elements   -37.3 meV per atom

```
data_PmTm2Mg9
_cell_length_a 6.0267
_cell_length_b 6.0267
_cell_length_c 29.1180
_cell_angle_alpha 90.00
_cell_angle_beta 90.00
_cell_angle_gamma 120.00
_symmetry_space_group_name_H-M 'R -3 m'
_symmetry_Int_Tables_number 166
_symmetry_space_group_name_Hall '-R 3 2"'
loop_
_atom_site_label
_atom_site_fract_x
_atom_site_fract_y
_atom_site_fract_z
Pm1 0.0000 0.0000 0.0000
Tm1 0.0000 0.0000 0.1445
Mg1 0.0000 0.0000 0.3341
Mg2 0.0000 0.0000 0.5000
Mg3 0.0054 0.5027 0.9150
```

***

Here is a relaxed structure of Pm2Tm7Mg from the Alexandria database. Energies are from PBE.

Output
Energy of formation from the pure elements   685.0 meV per atom

```
data_Pm2Tm7Mg
_cell_length_a 8.5704
_cell_length_b 16.8395
_cell_length_c 5.1064
_cell_angle_alpha 90.00
_cell_angle_beta 90.00
_cell_angle_gamma 90.00
_symmetry_space_group_name_H-M 'C m m m'
_symmetry_Int_Tables_number 65
_symmetry_space_group_name_Hall '-C 2 2'
loop_
_atom_site_label
_atom_site_fract_x
_atom_site_fract_y
_atom_site_fract_z
Pm1 0.0000 0.2038 0.0000
Tm1 0.0000 0.0000 0.0000
Tm2 0.0000 0.3050 0.5000
Tm3 0.1782 0.3968 0.0000
Mg1 0.0000 0.5000 0.5000
```

***

Here is a relaxed structure of Pm4Tm5Mg from the Alexandria database. Energies are from PBE.

Output
Energy of formation from the pure elements   4.5 meV per atom

```
data_Pm4Tm5Mg
_cell_length_a 3.5855
_cell_length_b 3.5855
_cell_length_c 24.1814
_cell_angle_alpha 90.00
_cell_angle_beta 90.00
_cell_angle_gamma 90.00
_symmetry_space_group_name_H-M 'P 4/m m m'
_symmetry_Int_Tables_number 123
_symmetry_space_group_name_Hall '-P 4 2'
loop_
_atom_site_label
_atom_site_fract_x
_atom_site_fract_y
_atom_site_fract_z
Pm1 0.0000 0.0000 0.1034
Pm2 0.0000 0.0000 0.3108
Tm1 0.5000 0.5000 0.0000
Tm2 0.5000 0.5000 0.2070
Tm3 0.5000 0.5000 0.4123
Mg1 0.0000 0.0000 0.5000
```

***

Here is a relaxed structure of Pm9TmMg2 from the Alexandria database. Energies are from PBE.

Output
Energy of formation from the pure elements   3.9 meV per atom

```
data_Pm9TmMg2
_cell_length_a 5.0334
_cell_length_b 5.0334
_cell_length_c 15.1815
_cell_angle_alpha 90.00
_cell_angle_beta 90.00
_cell_angle_gamma 90.00
_symmetry_space_group_name_H-M 'P 4/m m m'
_symmetry_Int_Tables_number 123
_symmetry_space_group_name_Hall '-P 4 2'
loop_
_atom_site_label
_atom_site_fract_x
_atom_site_fract_y
_atom_site_fract_z
Pm1 0.0000 0.0000 0.0000
Pm2 0.0000 0.0000 0.3352
Pm3 0.0000 0.5000 0.1692
Pm4 0.0000 0.5000 0.5000
Tm1 0.5000 0.5000 0.0000
Mg1 0.5000 0.5000 0.3366
```

***

Here is a relaxed structure of Pm5Tm2Mg from the Alexandria database. Energies are from PBE.

Output
Offset from the most stable computed form   0.016 eV per atom
Energy of formation from the pure elements   13.2 meV per atom

```
data_Pm5Tm2Mg
_cell_length_a 7.1543
_cell_length_b 7.1543
_cell_length_c 9.9306
_cell_angle_alpha 90.00
_cell_angle_beta 90.00
_cell_angle_gamma 90.00
_symmetry_space_group_name_H-M 'I 4/m m m'
_symmetry_Int_Tables_number 139
_symmetry_space_group_name_Hall '-I 4 2'
loop_
_atom_site_label
_atom_site_fract_x
_atom_site_fract_y
_atom_site_fract_z
Pm1 0.0000 0.0000 0.0000
Pm2 0.2500 0.2500 0.2500
Tm1 0.0000 0.5000 0.0000
Mg1 0.0000 0.0000 0.5000
```

***

Here is a relaxed structure of Pm4Tm4Mg from the Alexandria database. Energies are from PBE.

Output
Energy of formation from the pure elements   21.3 meV per atom

```
data_Pm4Tm4Mg
_cell_length_a 7.0612
_cell_length_b 7.9163
_cell_length_c 10.5780
_cell_angle_alpha 77.22
_cell_angle_beta 89.68
_cell_angle_gamma 77.04
_symmetry_space_group_name_H-M 'P -1'
_symmetry_Int_Tables_number 2
_symmetry_space_group_name_Hall '-P 1'
loop_
_atom_site_label
_atom_site_fract_x
_atom_site_fract_y
_atom_site_fract_z
Pm1 0.0802 0.1722 0.3851
Pm2 0.2472 0.4989 0.8355
Pm3 0.4124 0.8347 0.6097
Pm4 0.4129 0.8362 0.9425
Tm1 0.0818 0.1645 0.0578
Tm2 0.0816 0.1669 0.7220
Tm3 0.2471 0.4991 0.5006
Tm4 0.2506 0.5057 0.1688
Mg1 0.4166 0.8287 0.2778
```

***

Here is a relaxed structure of Pm6TmMg5 from the Alexandria database. Energies are from PBE.

Output
Energy of formation from the pure elements   -59.9 meV per atom

```
data_Pm6TmMg5
_cell_length_a 5.4928
_cell_length_b 7.7626
_cell_length_c 8.7365
_cell_angle_alpha 90.00
_cell_angle_beta 108.25
_cell_angle_gamma 90.00
_symmetry_space_group_name_H-M 'P 1 2/m 1'
_symmetry_Int_Tables_number 10
_symmetry_space_group_name_Hall '-P 2y'
loop_
_atom_site_label
_atom_site_fract_x
_atom_site_fract_y
_atom_site_fract_z
Pm1 0.0000 0.2407 0.0000
Pm2 0.3327 0.2482 0.6609
Tm1 0.5000 0.5000 0.0000
Mg1 0.1591 0.5000 0.3236
Mg2 0.1638 0.0000 0.3340
Mg3 0.5000 0.0000 0.0000
```

***

Here is a relaxed structure of Pm6Tm5Mg2 from the Alexandria database. Energies are from PBE.

Output
Energy of formation from the pure elements   136.3 meV per atom

```
data_Pm6Tm5Mg2
_cell_length_a 10.4408
_cell_length_b 22.7434
_cell_length_c 3.5177
_cell_angle_alpha 90.00
_cell_angle_beta 90.00
_cell_angle_gamma 90.00
_symmetry_space_group_name_H-M 'P b a m'
_symmetry_Int_Tables_number 55
_symmetry_space_group_name_Hall '-P 2 2ab'
loop_
_atom_site_label
_atom_site_fract_x
_atom_site_fract_y
_atom_site_fract_z
Pm1 0.0174 0.1132 0.0000
Pm2 0.1452 0.3836 0.0000
Pm3 0.1711 0.6334 0.5000
Tm1 0.0000 0.5000 0.5000
Tm2 0.0806 0.2501 0.5000
Tm3 0.1652 0.9946 0.5000
Mg1 0.1694 0.7615 0.0000
```

***

Here is a relaxed structure of Pm5Tm6Mg from the Alexandria database. Energies are from PBE.

Output
Energy of formation from the pure elements   40.8 meV per atom

```
data_Pm5Tm6Mg
_cell_length_a 5.4519
_cell_length_b 8.2795
_cell_length_c 16.7334
_cell_angle_alpha 90.00
_cell_angle_beta 90.00
_cell_angle_gamma 90.00
_symmetry_space_group_name_H-M 'I m m m'
_symmetry_Int_Tables_number 71
_symmetry_space_group_name_Hall '-I 2 2'
loop_
_atom_site_label
_atom_site_fract_x
_atom_site_fract_y
_atom_site_fract_z
Pm1 0.0000 0.0000 0.0000
Pm2 0.0000 0.0000 0.3089
Pm3 0.0000 0.5000 0.3371
Tm1 0.0000 0.2130 0.5000
Tm2 0.0000 0.2795 0.1526
Mg1 0.0000 0.5000 0.0000
```

***

Here is a relaxed structure of Pm2TmMg4 from the Alexandria database. Energies are from PBE.

Output
Offset from the most stable computed form   0.504 eV per atom
Energy of formation from the pure elements   543.9 meV per atom

```
data_Pm2TmMg4
_cell_length_a 5.5503
_cell_length_b 5.5503
_cell_length_c 16.2519
_cell_angle_alpha 90.00
_cell_angle_beta 90.00
_cell_angle_gamma 90.00
_symmetry_space_group_name_H-M 'I 4/m m m'
_symmetry_Int_Tables_number 139
_symmetry_space_group_name_Hall '-I 4 2'
loop_
_atom_site_label
_atom_site_fract_x
_atom_site_fract_y
_atom_site_fract_z
Pm1 0.0000 0.0000 0.1068
Tm1 0.0000 0.0000 0.5000
Mg1 0.0000 0.0000 0.3146
Mg2 0.0000 0.5000 0.0000
```

***

Here is a relaxed structure of Pm6TmMg2 from the Alexandria database. Energies are from PBE.

Output
Energy of formation from the pure elements   112.2 meV per atom

```
data_Pm6TmMg2
_cell_length_a 16.7257
_cell_length_b 3.5097
_cell_length_c 11.8891
_cell_angle_alpha 90.00
_cell_angle_beta 123.42
_cell_angle_gamma 90.00
_symmetry_space_group_name_H-M 'C 1 2/m 1'
_symmetry_Int_Tables_number 12
_symmetry_space_group_name_Hall '-C 2y'
loop_
_atom_site_label
_atom_site_fract_x
_atom_site_fract_y
_atom_site_fract_z
Pm1 0.0491 0.0000 0.2493
Pm2 0.1281 0.5000 0.0537
Pm3 0.2281 0.0000 0.6107
Tm1 0.0000 0.0000 0.5000
Mg1 0.1513 0.5000 0.7885
```